Entry from Alexandria via LeMat-Bulk: crystalline NiBiIO6 at its relaxed geometry (GGA+U).

abc: 5.2649 5.2649 9.9472
angles: 90.00 90.00 120.00
With the nearest neighbours (Å) after each atom.
Element x y z (fractional)
Ni (0.3333, 0.6667, 0.2500)  6 O 2.07
Ni (0.6667, 0.3333, 0.7500)  6 O 2.07
Bi (0.0000, 0.0000, 0.0000)  6 O 2.39
Bi (0.0000, 0.0000, 0.5000)  6 O 2.39
I (0.6667, 0.3333, 0.2500)  6 O 1.91
I (0.3333, 0.6667, 0.7500)  6 O 1.91
O (0.6442, 0.6213, 0.1412)  1 I 1.91, 1 Ni 2.07
O (0.9771, 0.3558, 0.1412)  1 I 1.91, 1 Ni 2.07
O (0.3558, 0.9771, 0.6412)  1 I 1.91, 1 Ni 2.07
O (0.0229, 0.6442, 0.8588)  1 I 1.91, 1 Ni 2.07
O (0.3787, 0.3558, 0.3588)  1 I 1.91, 1 Ni 2.07
O (0.9771, 0.6213, 0.3588)  1 I 1.91, 1 Ni 2.07
O (0.6213, 0.9771, 0.8588)  1 I 1.91, 1 Ni 2.07
O (0.6442, 0.0229, 0.3588)  1 I 1.91, 1 Ni 2.07
O (0.0229, 0.3787, 0.6412)  1 I 1.91, 1 Ni 2.07
O (0.3787, 0.0229, 0.1412)  1 I 1.91, 1 Ni 2.07
O (0.6213, 0.6442, 0.6412)  1 I 1.91, 1 Ni 2.07
O (0.3558, 0.3787, 0.8588)  1 I 1.91, 1 Ni 2.07

D(E_F)	0.000	states/eV/f.u.
V	239	Å³ per cell
calculated total energy	-4.988	eV per atom